[1]
Th4SnIrSe2, optimized geometry, DFT PBE; crystal system = monoclinic; DFT total energy = -58.4 eV/cell; SG = No. 10; raw formation energy = -1.113 eV/atom
1.0
4.208 0.000 0.000
0.000 7.462 -0.154
0.000 2.626 7.227
Th Sn Ir Se
4 1 1 2
Cartesian
0.000 7.452 5.521
4.208 2.636 1.552
2.104 6.210 1.562
2.104 3.879 5.511
0.000 5.044 3.537
2.104 3.731 -0.077
0.000 2.626 7.227
2.104 1.313 3.614

=====

[2]
LaZr2Cu, optimized geometry, DFT PBE; crystal system = monoclinic; DFT total energy = -25.1 eV/cell; offset from the most stable computed form = 0.277 eV/atom; SG = No. 12; E_form = 0.25 eV/atom
1.0
6.158 0.003 -0.002
-3.241 5.236 -0.002
0.785 1.410 2.866
Cu La Zr
1 1 2
Cartesian
3.471 0.707 1.432
-1.228 3.323 1.432
0.000 0.000 0.000
1.458 2.620 -0.002

=====

[3]
TaTi2Nb2, optimized geometry, DFT PBE; crystal system = orthorhombic; DFT total energy = -92.8 eV/cell; offset from the most stable computed form = 0.175 eV/atom; SG = No. 74; E_form = 0.28 eV/atom
1.0
5.021 0.000 0.000
0.000 2.904 0.000
-2.511 -1.452 12.580
Ta Ti Nb
2 4 4
Cartesian
2.511 0.726 8.629
0.000 0.726 3.951
2.511 0.726 1.115
2.511 -0.726 11.240
0.000 0.726 11.465
0.000 2.178 1.341
2.511 2.178 5.975
0.000 -0.726 6.605
0.000 -0.726 9.235
2.511 2.178 3.346

=====

[4]
Zn4Fe, optimized geometry, DFT PBE; crystal system = tetragonal; DFT total energy = -13.2 eV/cell; offset from the most stable computed form = 0.000 eV/atom; SG = No. 87; E_form = 0.06 eV/atom
1.0
3.744 0.000 0.000
1.872 4.286 0.000
-1.872 0.000 4.286
Fe Zn
1 4
Cartesian
0.000 0.000 0.000
3.744 3.459 1.679
0.000 0.827 2.608
1.872 2.608 3.459
1.872 1.679 0.827